No. 1
Computed, not measured: K2WBr after structural relaxation at the PBE level of DFT.

DOS(E_F) = 0.66 states/eV per cell
Energy = -0.1263 hartree per atom
Magnetic moment = 5.0 Bohr magnetons per cell
Energy relative to the lowest polymorph listed for this composition = 98 meV per atom

a = 3.8457 Å, b = 6.0841 Å, c = 6.0841 Å
α = 90.00°, β = 90.00°, γ = 90.00°
Closest atoms and distances in Å follow each position.
Sites, in units of the cell vectors:
Br 0.5000 0.0000 0.5000  8 K 3.60, 2 Br 3.85
K 0.0000 0.0000 0.0000  4 W 3.60, 4 Br 3.60, 2 K 3.85
K 0.0000 0.5000 0.5000  4 Br 3.60, 4 W 3.60, 2 K 3.85
W 0.5000 0.5000 0.0000  8 K 3.60, 2 W 3.85

=====

No. 2
Computed, not measured: K2WBr after structural relaxation at the PBE level of DFT.

DOS(E_F) = 0.01 states/eV per cell
Energy = -0.1225 hartree per atom
Magnetic moment = 5.0 Bohr magnetons per cell
Energy relative to the lowest polymorph listed for this composition = 201 meV per atom

a = 7.3208 Å, b = 7.3208 Å, c = 7.3208 Å
α = 141.05°, β = 141.05°, γ = 56.26°
Closest atoms and distances in Å follow each position.
Sites, in units of the cell vectors:
W 0.5000 0.5000 0.0000  4 K 3.45
K 0.2500 0.7500 0.5000  4 Br 3.45
K 0.0000 0.0000 0.0000  4 W 3.45
Br 0.7500 0.2500 0.5000  4 K 3.45

=====

Question: What is the energy in the second record?
Answer: -0.1225 hartree per atom

=====

Question: What is the magnetic moment in the first record?
Answer: 5.0 Bohr magnetons per cell

=====

Question: Which formula does entry 1 have?
Answer: K2WBr